1.
This record from Alexandria describes an optimized crystal structure of KNd2Hg2Pb2. The functional is PBE.

It has space group R-3m (No. 166, hexagonal axes), with a = 5.2586 Å, b = 5.2586 Å, c = 30.4344 Å, α = 90.00°, β = 90.00° and γ = 120.00°. The inequivalent atoms are K at (0.0000, 0.0000, 0.0000), Nd at (0.0000, 0.0000, 0.1356), Hg at (0.0000, 0.0000, 0.4437) and Pb at (0.0000, 0.0000, 0.2540).

Its formation energy is -0.26 eV/atom.

2.
This record from Alexandria describes an optimized crystal structure of AcUTe6. The functional is PBE.

It has space group Amm2 (No. 38), with a = 4.453 Å, b = 4.452 Å, c = 27.251 Å, α = 90.00°, β = 90.00° and γ = 90.00°. The inequivalent atoms are Ac at (0.000, 0.000, 0.000), U at (0.500, 0.000, 0.340), Te at (0.000, 0.000, 0.252), Te at (0.000, 0.000, 0.597), Te at (0.000, 0.000, 0.871), Te at (0.500, 0.000, 0.097), Te at (0.500, 0.000, 0.458) and Te at (0.500, 0.000, 0.752).

The calculation puts the uncorrected formation energy at -0.793 eV/atom.

3.
This record from Alexandria describes an optimized crystal structure of Li2CaTe. The functional is PBE.

It has space group Imm2 (No. 44), with a = 4.091 Å, b = 4.495 Å, c = 11.345 Å, α = 90.00°, β = 90.00° and γ = 90.00°. The inequivalent atoms are Li at (0.000, 0.000, 0.000), Li at (0.000, 0.500, 0.149), Ca at (0.000, 0.000, 0.382) and Te at (0.000, 0.500, 0.655).

The calculation puts the uncorrected formation energy at -0.569 eV/atom.

4.
This record from Alexandria describes an optimized crystal structure of LiNi2W. The functional is PBE.

It has space group F-43m (No. 216), with a = 5.752 Å, b = 5.752 Å, c = 5.752 Å, α = 90.00°, β = 90.00° and γ = 90.00°. The inequivalent atoms are Li at (0.000, 0.000, 0.000), Ni at (0.000, 0.000, 0.500), Ni at (0.250, 0.250, 0.250) and W at (0.250, 0.250, 0.750).

Its formation energy is 0.27 eV/atom.

5.
This record from Alexandria describes an optimized crystal structure of HIrBr3. The functional is PBE.

It has space group Pm-3m (No. 221), with a = 4.529 Å, b = 4.529 Å, c = 4.529 Å, α = 90.00°, β = 90.00° and γ = 90.00°. The inequivalent atoms are H at (0.000, 0.000, 0.000), Ir at (0.500, 0.500, 0.500) and Br at (0.000, 0.000, 0.500).

The energy above the most stable polymorph in this dataset comes out at 691.4 meV/atom.

Please write out number 2 again, unchanged.
This record from Alexandria describes an optimized crystal structure of AcUTe6. The functional is PBE.

It has space group Amm2 (No. 38), with a = 4.453 Å, b = 4.452 Å, c = 27.251 Å, α = 90.00°, β = 90.00° and γ = 90.00°. The inequivalent atoms are Ac at (0.000, 0.000, 0.000), U at (0.500, 0.000, 0.340), Te at (0.000, 0.000, 0.252), Te at (0.000, 0.000, 0.597), Te at (0.000, 0.000, 0.871), Te at (0.500, 0.000, 0.097), Te at (0.500, 0.000, 0.458) and Te at (0.500, 0.000, 0.752).

The calculation puts the uncorrected formation energy at -0.793 eV/atom.